No. 1
## DyMgTlSn (PBE)

Data for DyMgTlSn after structural relaxation.

Results
energy of formation = -0.390 eV/atom

a b c (Å): 4.3969 4.8979 4.6706
angles (deg): 90.00 90.00 90.00
Fractional coordinates of all 4 atoms:
Mg 0.5000 0.0000 0.5000
Dy 0.5000 0.5000 0.0000
Tl 0.0000 0.0000 0.0000
Sn 0.0000 0.5000 0.5000

=====

No. 2
## CrSeSN2 (PBE)

Data for CrSeSN2 after structural relaxation.

Results
E_form (uncorrected) = 1.5795 eV per atom

a b c (Å): 3.3965 3.3965 7.1948
angles (deg): 90.00 90.00 90.00
Last column: magnetic moment on the atom in μB.
Fractional coordinates of all 5 atoms:
Se 0.0000 0.0000 0.5000  0.00
Cr 0.5000 0.5000 0.5000  0.11
N 0.0000 0.5000 0.0000  0.00
N 0.5000 0.0000 0.0000  0.00
S 0.0000 0.0000 0.0000  0.01

=====

No. 3
## Pr3YSe4 (PBE)

Data for Pr3YSe4 after structural relaxation.

Results
E_form (uncorrected) = -1.8250 eV per atom

a b c (Å): 7.3079 7.3713 8.3734
angles (deg): 90.00 90.00 109.25
Fractional coordinates of all 16 atoms:
Se 0.4996 0.7610 0.1193
Se 0.4939 0.2442 0.3688
Se 0.5004 0.2390 0.8807
Se 0.9939 0.2442 0.6312
Se 0.5061 0.7558 0.6312
Se 0.0061 0.7558 0.3688
Se 0.9996 0.7610 0.8807
Se 0.0004 0.2390 0.1193
Pr 0.7500 0.5000 0.1266
Pr 0.2500 0.5000 0.8734
Pr 0.2500 0.0000 0.6236
Pr 0.7500 0.5000 0.6226
Pr 0.7500 0.0000 0.3764
Pr 0.2500 0.5000 0.3774
Y 0.2500 0.0000 0.1266
Y 0.7500 0.0000 0.8734